Here is an optimized crystal structure of Pr2ErRhO6 from the Alexandria database. Energies are from PBE.

- DOS(E_F) (states/eV per atom) = 0.000
- energy relative to the elements, uncorrected (eV/atom) = -2.7241
- electronic total energy (eV per atom) = -7.846

```
data_Pr2ErRhO6
_chemical_formula_sum 'Pr4 Er2 Rh2 O12'
_cell_length_a 5.6679
_cell_length_b 5.9494
_cell_length_c 9.8080
_cell_angle_alpha 90.00
_cell_angle_beta 123.82
_cell_angle_gamma 90.00
_symmetry_space_group_name_H-M 'P 1 21/c 1'
_symmetry_Int_Tables_number 14
_symmetry_space_group_name_Hall '-P 2ybc'
loop_
_atom_site_label
_atom_site_type_symbol
_atom_site_fract_x
_atom_site_fract_y
_atom_site_fract_z
_atom_site_occupancy
Pr1 Pr 0.2279 0.0617 0.2490 1
Er1 Er 0.5000 0.0000 0.0000 1
Rh1 Rh 0.0000 0.0000 0.5000 1
O1 O 0.1289 0.2056 0.9410 1
O2 O 0.2365 0.6966 0.9410 1
O3 O 0.3562 0.0439 0.7401 1
```